A plane-wave DFT calculation with PBE was carried out for crystalline SrTa2Tc at its relaxed geometry.

```
data_SrTa2Tc
_chemical_formula_sum 'Sr1 Ta2 Tc1'
_cell_length_a 4.0463
_cell_length_b 3.0688
_cell_length_c 7.6445
_cell_angle_alpha 75.60
_cell_angle_beta 90.00
_cell_angle_gamma 90.00
_space_group_name_H-M_alt 'P 1'
_space_group_IT_number 1
loop_
_space_group_symop_operation_xyz
'x,y,z'
loop_
_atom_site_label
_atom_site_type_symbol
_atom_site_fract_x
_atom_site_fract_y
_atom_site_fract_z
Ta1 Ta 0.0000 0.4933 0.4145
Ta2 Ta 0.0000 0.0067 0.0855
Sr1 Sr 0.5000 0.7500 0.7500
Tc1 Tc 0.5000 0.2500 0.2500
```

Output
distance to the lowest polymorph of the same formula	74	meV/atom
magnetization	0.0	μB/cell
energy relative to the elements	11.97	kcal/mol of atoms
SG	P2/m (10)